A plane-wave DFT calculation with SCAN was carried out for a crystal of AuCS3 relaxed with PBEsol.

## Properties
- Raw formation energy: 10.78 eV/f.u.
- Uncorrected energy: -19.4722 eV per atom
- Volume: 21.35 A^3/atom

```
AuCS3
1.0
4.7438 0.0000 0.0000
0.0000 4.7438 0.0000
0.0000 0.0000 4.7438
S C Au
3 1 1
Direct
0.0000 0.0000 0.5000 S
0.5000 0.0000 0.0000 S
0.0000 0.5000 0.0000 S
0.5000 0.5000 0.5000 C
0.0000 0.0000 0.0000 Au
```